# NbI3BrCl (PBE, relaxed)
data_NbI3BrCl
_cell_length_a 7.3124
_cell_length_b 7.8672
_cell_length_c 10.2875
_cell_angle_alpha 111.06
_cell_angle_beta 91.42
_cell_angle_gamma 117.59
_space_group_name_H-M_alt 'P 1'
_space_group_IT_number 1
loop_
_space_group_symop_operation_xyz
'x,y,z'
loop_
_atom_site_label
_atom_site_type_symbol
_atom_site_fract_x
_atom_site_fract_y
_atom_site_fract_z
_atom_site_occupancy
I1 I 0.8759 0.3723 0.1449 1
I2 I 0.6869 0.9858 0.7525 1
I3 I 0.0733 0.8229 0.5698 1
I4 I 0.3131 0.0142 0.2475 1
I5 I 0.1241 0.6277 0.8551 1
I6 I 0.9267 0.1771 0.4302 1
Br1 Br 0.4303 0.5579 0.3166 1
Br2 Br 0.5697 0.4421 0.6834 1
Cl1 Cl 0.1991 0.1564 0.9629 1
Cl2 Cl 0.8009 0.8436 0.0371 1
Nb1 Nb 0.8954 0.7888 0.7892 1
Nb2 Nb 0.1046 0.2112 0.2108 1
# uncorrected energy	-3.69	eV per atom
# offset from the most stable computed form	0.0058	eV per atom
# crystal system	triclinic


# NbI3BrCl (PBE, relaxed)
data_NbI3BrCl
_cell_length_a 7.2746
_cell_length_b 7.8209
_cell_length_c 10.0927
_cell_angle_alpha 69.07
_cell_angle_beta 88.54
_cell_angle_gamma 62.86
_space_group_name_H-M_alt 'P 1'
_space_group_IT_number 1
loop_
_space_group_symop_operation_xyz
'x,y,z'
loop_
_atom_site_label
_atom_site_type_symbol
_atom_site_fract_x
_atom_site_fract_y
_atom_site_fract_z
_atom_site_occupancy
I1 I 0.4458 0.4184 0.3310 1
I2 I 0.8745 0.6197 0.1550 1
I3 I 0.3003 0.9955 0.2488 1
I4 I 0.6997 0.0045 0.7512 1
I5 I 0.5542 0.5816 0.6690 1
I6 I 0.1255 0.3803 0.8450 1
Br1 Br 0.7805 0.1682 0.0438 1
Br2 Br 0.2195 0.8318 0.9562 1
Nb1 Nb 0.0995 0.7840 0.2209 1
Nb2 Nb 0.9005 0.2160 0.7791 1
Cl1 Cl 0.9365 0.8194 0.4155 1
Cl2 Cl 0.0635 0.1806 0.5845 1
# uncorrected energy	-3.70	eV per atom
# offset from the most stable computed form	0.0046	eV per atom
# crystal system	triclinic


# NbIBrClO (PBE, relaxed)
data_NbIBrClO
_cell_length_a 7.5221
_cell_length_b 7.5221
_cell_length_c 12.0214
_cell_angle_alpha 120.42
_cell_angle_beta 120.42
_cell_angle_gamma 30.54
_space_group_name_H-M_alt 'P 1'
_space_group_IT_number 1
loop_
_space_group_symop_operation_xyz
'x,y,z'
loop_
_atom_site_label
_atom_site_type_symbol
_atom_site_fract_x
_atom_site_fract_y
_atom_site_fract_z
_atom_site_occupancy
I1 I 0.6742 0.6659 0.2147 1
I2 I 0.3341 0.3258 0.7853 1
Nb1 Nb 0.1698 0.0652 0.6875 1
Nb2 Nb 0.9348 0.8302 0.3125 1
O1 O 0.4004 0.3772 0.3232 1
O2 O 0.6228 0.5996 0.6768 1
Br1 Br 0.1103 0.1040 0.8847 1
Br2 Br 0.8960 0.8897 0.1153 1
Cl1 Cl 0.9100 0.9132 0.5423 1
Cl2 Cl 0.0868 0.0900 0.4577 1
# uncorrected energy	-5.35	eV per atom
# offset from the most stable computed form	0.0000	eV per atom
# crystal system	monoclinic


# NbIBrClO (PBE, relaxed)
data_NbIBrClO
_cell_length_a 7.5308
_cell_length_b 7.5308
_cell_length_c 12.0385
_cell_angle_alpha 120.03
_cell_angle_beta 120.03
_cell_angle_gamma 30.52
_space_group_name_H-M_alt 'P 1'
_space_group_IT_number 1
loop_
_space_group_symop_operation_xyz
'x,y,z'
loop_
_atom_site_label
_atom_site_type_symbol
_atom_site_fract_x
_atom_site_fract_y
_atom_site_fract_z
_atom_site_occupancy
O1 O 0.3974 0.3726 0.3143 1
O2 O 0.6274 0.6026 0.6857 1
Br1 Br 0.9007 0.9082 0.5437 1
Br2 Br 0.0918 0.0993 0.4563 1
Cl1 Cl 0.1104 0.1032 0.8791 1
Cl2 Cl 0.8968 0.8896 0.1209 1
I1 I 0.6706 0.6642 0.2060 1
I2 I 0.3358 0.3294 0.7940 1
Nb1 Nb 0.9327 0.8245 0.3025 1
Nb2 Nb 0.1755 0.0673 0.6975 1
# uncorrected energy	-5.35	eV per atom
# offset from the most stable computed form	0.0010	eV per atom
# crystal system	monoclinic


# NbIBrClO (PBE, relaxed)
data_NbIBrClO
_cell_length_a 7.3381
_cell_length_b 7.3381
_cell_length_c 12.2786
_cell_angle_alpha 119.24
_cell_angle_beta 119.24
_cell_angle_gamma 31.56
_space_group_name_H-M_alt 'P 1'
_space_group_IT_number 1
loop_
_space_group_symop_operation_xyz
'x,y,z'
loop_
_atom_site_label
_atom_site_type_symbol
_atom_site_fract_x
_atom_site_fract_y
_atom_site_fract_z
_atom_site_occupancy
Br1 Br 0.8953 0.8898 0.6114 1
Br2 Br 0.1102 0.1047 0.3886 1
Nb1 Nb 0.9263 0.8084 0.7944 1
Nb2 Nb 0.1916 0.0737 0.2056 1
I1 I 0.8875 0.8999 0.0457 1
I2 I 0.1001 0.1125 0.9543 1
O1 O 0.6353 0.6139 0.1940 1
O2 O 0.3861 0.3647 0.8060 1
Cl1 Cl 0.3228 0.3159 0.2850 1
Cl2 Cl 0.6841 0.6772 0.7150 1
# uncorrected energy	-5.35	eV per atom
# offset from the most stable computed form	0.0037	eV per atom
# crystal system	monoclinic


# Nb3SIBr3Cl3 (PBE, relaxed)
data_Nb3SIBr3Cl3
_cell_length_a 7.1825
_cell_length_b 7.1825
_cell_length_c 6.6277
_cell_angle_alpha 90.00
_cell_angle_beta 90.00
_cell_angle_gamma 120.00
_space_group_name_H-M_alt 'P 1'
_space_group_IT_number 1
loop_
_space_group_symop_operation_xyz
'x,y,z'
loop_
_atom_site_label
_atom_site_type_symbol
_atom_site_fract_x
_atom_site_fract_y
_atom_site_fract_z
_atom_site_occupancy
Cl1 Cl 0.4943 0.5057 0.0160 1
Cl2 Cl 0.4943 0.9886 0.0160 1
Cl3 Cl 0.0114 0.5057 0.0160 1
I1 I 0.0000 0.0000 0.0268 1
Nb1 Nb 0.2001 0.7999 0.7782 1
Nb2 Nb 0.5999 0.7999 0.7782 1
Nb3 Nb 0.2001 0.4001 0.7782 1
S1 S 0.3333 0.6667 0.5125 1
Br1 Br 0.3367 0.1683 0.5644 1
Br2 Br 0.8317 0.1683 0.5644 1
Br3 Br 0.8317 0.6633 0.5644 1
# uncorrected energy	-5.30	eV per atom
# offset from the most stable computed form	0.0000	eV per atom
# crystal system	trigonal


# Nb3SeIBr3Cl3 (PBE, relaxed)
data_Nb3SeIBr3Cl3
_cell_length_a 7.2187
_cell_length_b 7.2187
_cell_length_c 6.8383
_cell_angle_alpha 90.00
_cell_angle_beta 90.00
_cell_angle_gamma 120.00
_space_group_name_H-M_alt 'P 1'
_space_group_IT_number 1
loop_
_space_group_symop_operation_xyz
'x,y,z'
loop_
_atom_site_label
_atom_site_type_symbol
_atom_site_fract_x
_atom_site_fract_y
_atom_site_fract_z
_atom_site_occupancy
Se1 Se 0.0000 0.0000 0.7815 1
Br1 Br 0.5009 0.4991 0.7052 1
Br2 Br 0.5009 0.0018 0.7052 1
Br3 Br 0.9982 0.4991 0.7052 1
Cl1 Cl 0.8404 0.1596 0.2710 1
Cl2 Cl 0.3191 0.1596 0.2710 1
Cl3 Cl 0.8404 0.6809 0.2710 1
Nb1 Nb 0.7325 0.8663 0.5008 1
Nb2 Nb 0.1337 0.2675 0.5008 1
Nb3 Nb 0.1337 0.8663 0.5008 1
I1 I 0.3333 0.6667 0.2580 1
# uncorrected energy	-5.22	eV per atom
# crystal system	trigonal


# Nb3SeI3BrCl3 (PBE, relaxed)
data_Nb3SeI3BrCl3
_cell_length_a 7.2768
_cell_length_b 7.2768
_cell_length_c 6.9237
_cell_angle_alpha 90.00
_cell_angle_beta 90.00
_cell_angle_gamma 120.00
_space_group_name_H-M_alt 'P 1'
_space_group_IT_number 1
loop_
_space_group_symop_operation_xyz
'x,y,z'
loop_
_atom_site_label
_atom_site_type_symbol
_atom_site_fract_x
_atom_site_fract_y
_atom_site_fract_z
_atom_site_occupancy
I1 I 0.8297 0.1703 0.2429 1
I2 I 0.8297 0.6594 0.2429 1
I3 I 0.3406 0.1703 0.2429 1
Br1 Br 0.3333 0.6667 0.3130 1
Nb1 Nb 0.1382 0.2765 0.5158 1
Nb2 Nb 0.1382 0.8618 0.5158 1
Nb3 Nb 0.7235 0.8618 0.5158 1
Cl1 Cl 0.4960 0.9919 0.6988 1
Cl2 Cl 0.0081 0.5040 0.6988 1
Cl3 Cl 0.4960 0.5040 0.6988 1
Se1 Se 0.0000 0.0000 0.7848 1
# uncorrected energy	-5.01	eV per atom
# crystal system	trigonal